Entry P
Here is a relaxed structure of GdGaPO from the Open Quantum Materials Database. Energies are from GGA-PBE.

CIF file:
```
data_GdGaPO
_chemical_formula_sum 'Gd2 Ga2 P2 O2'
_symmetry_space_group_name_H-M 'P m c 21'
_symmetry_Int_Tables_number 26
_cell_length_a 4.482
_cell_length_b 4.503
_cell_length_c 6.491
_cell_angle_alpha 90.00
_cell_angle_beta 90.00
_cell_angle_gamma 90.00
loop_
_symmetry_equiv_pos_as_xyz
'x,y,z'
'-x,-y,z+1/2'
'-x,y,z'
'x,-y,z+1/2'
loop_
_atom_site_label
_atom_site_type_symbol
_atom_site_fract_x
_atom_site_fract_y
_atom_site_fract_z
Gd1 Gd 0.000 0.182 0.000
Ga1 Ga 0.500 0.342 0.345
P1 P 0.500 0.157 0.696
O1 O 0.000 0.334 0.346
```

Calculated values
- Mass density: 6.95 g/cm3
- Total magnetization: 0.000 μB/atom
- Crystal system: orthorhombic
- Volume: 16.4 Å³ per atom

Entry Q
Here is a relaxed structure of GdGaPO from the Open Quantum Materials Database. Energies are from GGA-PBE.

CIF file:
```
data_GdGaPO
_chemical_formula_sum 'Gd2 Ga2 P2 O2'
_symmetry_space_group_name_H-M 'P 4/n m m'
_symmetry_Int_Tables_number 129
_cell_length_a 4.301
_cell_length_b 4.301
_cell_length_c 9.162
_cell_angle_alpha 90.00
_cell_angle_beta 90.00
_cell_angle_gamma 90.00
loop_
_symmetry_equiv_pos_as_xyz
'x,y,z'
'-x,-y,-z'
'-y+1/2,x,z'
'y+1/2,-x,-z'
'-x+1/2,-y+1/2,z'
'x+1/2,y+1/2,-z'
'y,-x+1/2,z'
'-y,x+1/2,-z'
'x+1/2,-y,-z'
'-x+1/2,y,z'
'-y,-x,-z'
'y,x,z'
'-x,y+1/2,-z'
'x,-y+1/2,z'
'y+1/2,x+1/2,-z'
'-y+1/2,-x+1/2,z'
loop_
_atom_site_label
_atom_site_type_symbol
_atom_site_fract_x
_atom_site_fract_y
_atom_site_fract_z
Gd1 Gd 0.250 0.750 0.000
Ga1 Ga 0.250 0.250 0.446
P1 P 0.250 0.250 0.187
O1 O 0.250 0.750 0.500
```

Calculated values
- Mass density: 5.37 g/cm3
- Total magnetization: 0.005 μB/atom
- Crystal system: tetragonal
- Volume: 21.2 Å³ per atom

Quick look at relative energies in meV/atom: entry P 0; entry Q 787.

Entry P
Here is a relaxed structure of GdGaPO from the Open Quantum Materials Database. Energies are from GGA-PBE.

CIF file:
```
data_GdGaPO
_chemical_formula_sum 'Gd2 Ga2 P2 O2'
_symmetry_space_group_name_H-M 'P 4/n m m'
_symmetry_Int_Tables_number 129
_cell_length_a 4.194
_cell_length_b 4.194
_cell_length_c 7.897
_cell_angle_alpha 90.00
_cell_angle_beta 90.00
_cell_angle_gamma 90.00
loop_
_symmetry_equiv_pos_as_xyz
'x,y,z'
'-x,-y,-z'
'-y+1/2,x,z'
'y+1/2,-x,-z'
'-x+1/2,-y+1/2,z'
'x+1/2,y+1/2,-z'
'y,-x+1/2,z'
'-y,x+1/2,-z'
'x+1/2,-y,-z'
'-x+1/2,y,z'
'-y,-x,-z'
'y,x,z'
'-x,y+1/2,-z'
'x,-y+1/2,z'
'y+1/2,x+1/2,-z'
'-y+1/2,-x+1/2,z'
loop_
_atom_site_label
_atom_site_type_symbol
_atom_site_fract_x
_atom_site_fract_y
_atom_site_fract_z
Gd1 Gd 0.250 0.250 0.123
Ga1 Ga 0.250 0.750 0.500
P1 P 0.250 0.250 0.666
O1 O 0.250 0.750 0.000
```

Calculated values
- Mass density: 6.55 g/cm3
- Total magnetization: 0.001 μB/atom
- Crystal system: tetragonal
- Volume: 17.4 Å³ per atom

Entry Q
Here is a relaxed structure of GdGaPO from the Open Quantum Materials Database. Energies are from GGA-PBE.

CIF file:
```
data_GdGaPO
_chemical_formula_sum 'Gd2 Ga2 P2 O2'
_symmetry_space_group_name_H-M 'P m c 21'
_symmetry_Int_Tables_number 26
_cell_length_a 4.634
_cell_length_b 5.800
_cell_length_c 5.681
_cell_angle_alpha 90.00
_cell_angle_beta 90.00
_cell_angle_gamma 90.00
loop_
_symmetry_equiv_pos_as_xyz
'x,y,z'
'-x,-y,z+1/2'
'-x,y,z'
'x,-y,z+1/2'
loop_
_atom_site_label
_atom_site_type_symbol
_atom_site_fract_x
_atom_site_fract_y
_atom_site_fract_z
Gd1 Gd 0.000 0.247 0.000
Ga1 Ga 0.500 0.172 0.581
P1 P 0.000 0.262 0.501
O1 O 0.500 0.163 0.956
```

Calculated values
- Mass density: 5.96 g/cm3
- Total magnetization: 0.000 μB/atom
- Crystal system: orthorhombic
- Volume: 19.1 Å³ per atom

Quick look at relative energies in meV/atom: entry P 0; entry Q 129.

Entry P
Here is a relaxed structure of RbGdGaTe3 from the Open Quantum Materials Database. Energies are from GGA-PBE.

CIF file:
```
data_RbGdGaTe3
_chemical_formula_sum 'Rb4 Gd4 Ga4 Te12'
_symmetry_space_group_name_H-M 'P n m a'
_symmetry_Int_Tables_number 62
_cell_length_a 12.266
_cell_length_b 5.058
_cell_length_c 13.341
_cell_angle_alpha 90.00
_cell_angle_beta 90.00
_cell_angle_gamma 90.00
loop_
_symmetry_equiv_pos_as_xyz
'x,y,z'
'-x,-y,-z'
'-x+1/2,-y,z+1/2'
'x+1/2,y,-z+1/2'
'x+1/2,-y+1/2,-z+1/2'
'-x+1/2,y+1/2,z+1/2'
'-x,y+1/2,-z'
'x,-y+1/2,z'
loop_
_atom_site_label
_atom_site_type_symbol
_atom_site_fract_x
_atom_site_fract_y
_atom_site_fract_z
Rb1 Rb 0.184 0.250 0.009
Gd1 Gd 0.023 0.250 0.322
Ga1 Ga 0.239 0.250 0.721
Te1 Te 0.046 0.750 0.172
Te2 Te 0.089 0.250 0.562
Te3 Te 0.213 0.750 0.798
```

Calculated values
- Mass density: 5.58 g/cm3
- Total magnetization: 0.001 μB/atom
- Crystal system: orthorhombic
- Volume: 34.5 Å³ per atom

Entry Q
Here is a relaxed structure of RbGdGaTe3 from the Open Quantum Materials Database. Energies are from GGA-PBE.

CIF file:
```
data_RbGdGaTe3
_chemical_formula_sum 'Rb4 Gd4 Ga4 Te12'
_symmetry_space_group_name_H-M 'C m c m'
_symmetry_Int_Tables_number 63
_symmetry_space_group_name_Hall '-C 2c 2'
_cell_length_a 4.839
_cell_length_b 15.830
_cell_length_c 11.787
_cell_angle_alpha 90.00
_cell_angle_beta 90.00
_cell_angle_gamma 90.00
loop_
_atom_site_label
_atom_site_type_symbol
_atom_site_fract_x
_atom_site_fract_y
_atom_site_fract_z
Rb1 Rb 0.000 0.250 0.250
Gd1 Gd 0.000 0.000 0.000
Ga1 Ga 0.000 0.480 0.750
Te1 Te 0.000 0.065 0.750
Te2 Te 0.000 0.376 0.561
```

Calculated values
- Mass density: 5.11 g/cm3
- Total magnetization: 0.001 μB/atom
- Crystal system: orthorhombic
- Volume: 37.6 Å³ per atom

Quick look at relative energies in meV/atom: entry P 26; entry Q 0.

Entry P
Here is a relaxed structure of GdGaTe from the Open Quantum Materials Database. Energies are from GGA-PBE.

CIF file:
```
data_GdGaTe
_chemical_formula_sum 'Gd4 Ga4 Te4'
_symmetry_space_group_name_H-M 'F -4 3 m'
_symmetry_Int_Tables_number 216
_symmetry_space_group_name_Hall 'F -4 2 3'
_cell_length_a 7.157
_cell_length_b 7.157
_cell_length_c 7.157
_cell_angle_alpha 90.00
_cell_angle_beta 90.00
_cell_angle_gamma 90.00
loop_
_atom_site_label
_atom_site_type_symbol
_atom_site_fract_x
_atom_site_fract_y
_atom_site_fract_z
Gd1 Gd 0.000 0.000 0.000
Ga1 Ga 0.250 0.250 0.750
Te1 Te 0.250 0.250 0.250
```

Calculated values
- Mass density: 6.43 g/cm3
- Total magnetization: 0.001 μB/atom
- Crystal system: cubic
- Volume: 30.5 Å³ per atom

Entry Q
Here is a relaxed structure of GdGaTe from the Open Quantum Materials Database. Energies are from GGA-PBE.

CIF file:
```
data_GdGaTe
_chemical_formula_sum 'Gd4 Ga4 Te4'
_symmetry_space_group_name_H-M 'F -4 3 m'
_symmetry_Int_Tables_number 216
_symmetry_space_group_name_Hall 'F -4 2 3'
_cell_length_a 7.153
_cell_length_b 7.153
_cell_length_c 7.153
_cell_angle_alpha 90.00
_cell_angle_beta 90.00
_cell_angle_gamma 90.00
loop_
_atom_site_label
_atom_site_type_symbol
_atom_site_fract_x
_atom_site_fract_y
_atom_site_fract_z
Gd1 Gd 0.000 0.000 0.000
Ga1 Ga 0.000 0.000 0.500
Te1 Te 0.250 0.250 0.750
```

Calculated values
- Mass density: 6.44 g/cm3
- Total magnetization: 0.001 μB/atom
- Crystal system: cubic
- Volume: 30.5 Å³ per atom

Quick look at relative energies in meV/atom: entry P 35; entry Q 0.

Entry P
Here is a relaxed structure of GdTm2Ga from the Open Quantum Materials Database. Energies are from GGA-PBE.

CIF file:
```
data_GdTm2Ga
_chemical_formula_sum 'Gd4 Tm8 Ga4'
_symmetry_space_group_name_H-M 'C m c m'
_symmetry_Int_Tables_number 63
_symmetry_space_group_name_Hall '-C 2c 2'
_cell_length_a 6.719
_cell_length_b 11.719
_cell_length_c 5.211
_cell_angle_alpha 90.00
_cell_angle_beta 90.00
_cell_angle_gamma 90.00
loop_
_atom_site_label
_atom_site_type_symbol
_atom_site_fract_x
_atom_site_fract_y
_atom_site_fract_z
Gd1 Gd 0.000 0.176 0.250
Tm1 Tm 0.238 0.414 0.250
Ga1 Ga 0.000 0.337 0.750
```

Calculated values
- Mass density: 9.14 g/cm3
- Total magnetization: 0.004 μB/atom
- Crystal system: orthorhombic
- Volume: 25.6 Å³ per atom

Entry Q
Here is a relaxed structure of GdTm2Ga from the Open Quantum Materials Database. Energies are from GGA-PBE.

CIF file:
```
data_GdTm2Ga
_chemical_formula_sum 'Gd4 Tm8 Ga4'
_symmetry_space_group_name_H-M 'A m m 2'
_symmetry_Int_Tables_number 38
_cell_length_a 5.180
_cell_length_b 6.952
_cell_length_c 11.938
_cell_angle_alpha 90.00
_cell_angle_beta 90.00
_cell_angle_gamma 90.00
loop_
_symmetry_equiv_pos_as_xyz
'x,y,z'
'-x,-y,z'
'-x,y,z'
'x,-y,z'
'x,y+1/2,z+1/2'
'-x,-y+1/2,z+1/2'
'-x,y+1/2,z+1/2'
'x,-y+1/2,z+1/2'
loop_
_atom_site_label
_atom_site_type_symbol
_atom_site_fract_x
_atom_site_fract_y
_atom_site_fract_z
Gd1 Gd 0.000 0.000 0.000
Gd2 Gd 0.500 0.000 0.311
Tm1 Tm 0.000 0.000 0.498
Tm2 Tm 0.500 0.000 0.817
Tm3 Tm 0.500 0.247 0.582
Ga1 Ga 0.000 0.232 0.730
```

Calculated values
- Mass density: 8.73 g/cm3
- Total magnetization: 0.005 μB/atom
- Crystal system: orthorhombic
- Volume: 26.9 Å³ per atom

Entry R
Here is a relaxed structure of GdTm2Ga from the Open Quantum Materials Database. Energies are from GGA-PBE.

CIF file:
```
data_GdTm2Ga
_chemical_formula_sum 'Gd4 Tm8 Ga4'
_symmetry_space_group_name_H-M 'A m a 2'
_symmetry_Int_Tables_number 40
_cell_length_a 4.868
_cell_length_b 10.578
_cell_length_c 8.254
_cell_angle_alpha 90.00
_cell_angle_beta 90.00
_cell_angle_gamma 90.00
loop_
_symmetry_equiv_pos_as_xyz
'x,y,z'
'-x,-y,z'
'-x+1/2,y,z'
'x+1/2,-y,z'
'x,y+1/2,z+1/2'
'-x,-y+1/2,z+1/2'
'-x+1/2,y+1/2,z+1/2'
'x+1/2,-y+1/2,z+1/2'
loop_
_atom_site_label
_atom_site_type_symbol
_atom_site_fract_x
_atom_site_fract_y
_atom_site_fract_z
Gd1 Gd 0.250 0.113 0.000
Tm1 Tm 0.250 0.110 0.590
Tm2 Tm 0.250 0.379 0.796
Ga1 Ga 0.250 0.323 0.290
```

Calculated values
- Mass density: 8.83 g/cm3
- Total magnetization: 0.043 μB/atom
- Crystal system: orthorhombic
- Volume: 26.6 Å³ per atom

Quick look at relative energies in meV/atom: entry P 11; entry Q 101; entry R 0.